Computed, not measured: a relaxed K5InF6 crystal at the GGA-PBE level of DFT.

Mass density in Mg/m³: 2.900
Formation energy (no corrections) in meV/atom: -2535
Magnetization in μB/atom: 0.00

Lattice parameters (Å, degrees): 6.677 6.675 6.675 60.00 80.42 70.55
Fractional positions:
K 0.500 0.500 0.000
In 0.000 0.000 0.000
F 0.747 0.421 0.663
F 0.252 0.253 0.000
K 0.500 0.166 0.668
F 0.253 0.916 0.663
F 0.253 0.579 0.337
K 0.000 0.667 0.666
F 0.747 0.084 0.337
K 0.500 0.834 0.332
K 0.000 0.333 0.334
F 0.748 0.747 0.000